1.
# La2YTh3Se6 PBE optimized geometry
data_La2YTh3Se6
_cell_length_a 4.213
_cell_length_b 8.460
_cell_length_c 9.493
_cell_angle_alpha 104.38
_cell_angle_beta 102.82
_cell_angle_gamma 90.00
_symmetry_space_group_name_H-M 'P 1'
_symmetry_Int_Tables_number 1
loop_
_symmetry_equiv_pos_as_xyz
'x,y,z'
loop_
_atom_site_label
_atom_site_type_symbol
_atom_site_fract_x
_atom_site_fract_y
_atom_site_fract_z
Th1 Th 0.169 0.835 0.339
La1 La 0.835 0.667 0.669
La2 La 0.165 0.333 0.331
Se1 Se 0.003 0.760 0.006
Se2 Se 0.667 0.586 0.333
Se3 Se 0.997 0.240 0.994
Se4 Se 0.338 0.922 0.676
Y1 Y 0.500 0.000 0.000
Se5 Se 0.333 0.414 0.667
Th2 Th 0.500 0.500 0.000
Th3 Th 0.831 0.165 0.661
Se6 Se 0.662 0.078 0.324
# space group	C2/m (12)
# E	-6.6705	eV per atom
# formation energy (no corrections)	-1.713	eV/atom

2.
# La3Y2ThSe6 PBE optimized geometry
data_La3Y2ThSe6
_cell_length_a 4.205
_cell_length_b 8.474
_cell_length_c 9.435
_cell_angle_alpha 102.97
_cell_angle_beta 102.88
_cell_angle_gamma 90.00
_symmetry_space_group_name_H-M 'P 1'
_symmetry_Int_Tables_number 1
loop_
_symmetry_equiv_pos_as_xyz
'x,y,z'
loop_
_atom_site_label
_atom_site_type_symbol
_atom_site_fract_x
_atom_site_fract_y
_atom_site_fract_z
La1 La 0.500 0.500 0.000
Se1 Se 0.006 0.250 0.011
La2 La 0.163 0.833 0.326
Se2 Se 0.672 0.574 0.343
Se3 Se 0.332 0.904 0.665
Se4 Se 0.328 0.426 0.657
Se5 Se 0.668 0.096 0.335
Y1 Y 0.166 0.331 0.331
Y2 Y 0.834 0.669 0.669
Th1 Th 0.500 0.000 0.000
La3 La 0.837 0.167 0.674
Se6 Se 0.994 0.750 0.989
# space group	C2/m (12)
# E	-6.5143	eV per atom
# formation energy (no corrections)	-1.844	eV/atom

3.
# LaYTh2Se4 PBE optimized geometry
data_LaYTh2Se4
_cell_length_a 4.193
_cell_length_b 7.182
_cell_length_c 7.386
_cell_angle_alpha 109.23
_cell_angle_beta 90.00
_cell_angle_gamma 90.00
_symmetry_space_group_name_H-M 'P 1'
_symmetry_Int_Tables_number 1
loop_
_symmetry_equiv_pos_as_xyz
'x,y,z'
loop_
_atom_site_label
_atom_site_type_symbol
_atom_site_fract_x
_atom_site_fract_y
_atom_site_fract_z
Se1 Se 0.500 0.743 0.753
Y1 Y 0.500 0.500 0.000
Th1 Th 0.000 0.500 0.500
Se2 Se 0.000 0.260 0.758
Se3 Se 0.500 0.257 0.247
Se4 Se 0.000 0.740 0.242
Th2 Th 0.500 0.000 0.500
La1 La 0.000 0.000 0.000
# space group	P2/m (10)
# E	-6.7152	eV per atom
# formation energy (no corrections)	-1.694	eV/atom

4.
# La2YThSe4 PBE optimized geometry
data_La2YThSe4
_cell_length_a 4.203
_cell_length_b 7.358
_cell_length_c 7.328
_cell_angle_alpha 109.20
_cell_angle_beta 90.00
_cell_angle_gamma 90.00
_symmetry_space_group_name_H-M 'P 1'
_symmetry_Int_Tables_number 1
loop_
_symmetry_equiv_pos_as_xyz
'x,y,z'
loop_
_atom_site_label
_atom_site_type_symbol
_atom_site_fract_x
_atom_site_fract_y
_atom_site_fract_z
Th1 Th 0.500 0.500 0.000
Se1 Se 0.500 0.761 0.764
Se2 Se 0.500 0.239 0.236
Se3 Se 0.000 0.247 0.760
La1 La 0.000 0.500 0.500
Y1 Y 0.000 0.000 0.000
Se4 Se 0.000 0.753 0.240
La2 La 0.500 0.000 0.500
# space group	P2/m (10)
# E	-6.5321	eV per atom
# formation energy (no corrections)	-1.822	eV/atom

5.
# La3YTh3Se8 PBE optimized geometry
data_La3YTh3Se8
_cell_length_a 8.416
_cell_length_b 8.414
_cell_length_c 8.519
_cell_angle_alpha 119.60
_cell_angle_beta 90.00
_cell_angle_gamma 120.01
_symmetry_space_group_name_H-M 'P 1'
_symmetry_Int_Tables_number 1
loop_
_symmetry_equiv_pos_as_xyz
'x,y,z'
loop_
_atom_site_label
_atom_site_type_symbol
_atom_site_fract_x
_atom_site_fract_y
_atom_site_fract_z
Se1 Se 0.251 0.005 0.258
Se2 Se 0.247 0.494 0.742
Se3 Se 0.749 0.995 0.742
Se4 Se 0.753 0.506 0.258
Se5 Se 0.753 0.005 0.258
Se6 Se 0.749 0.498 0.746
La1 La 0.500 0.500 0.000
Th1 Th 0.000 0.500 0.500
Se7 Se 0.247 0.995 0.742
La2 La 0.000 0.500 0.000
Th2 Th 0.500 0.000 0.500
La3 La 0.000 0.000 0.000
Th3 Th 0.500 0.500 0.500
Y1 Y 0.000 0.000 0.500
Se8 Se 0.251 0.502 0.254
# space group	R-3m (166)
# E	-6.5663	eV per atom
# formation energy (no corrections)	-1.808	eV/atom

6.
# La3TiSe PBE optimized geometry
data_La3TiSe
_cell_length_a 5.676
_cell_length_b 5.676
_cell_length_c 5.676
_cell_angle_alpha 90.00
_cell_angle_beta 90.00
_cell_angle_gamma 90.00
_symmetry_space_group_name_H-M 'P 1'
_symmetry_Int_Tables_number 1
loop_
_symmetry_equiv_pos_as_xyz
'x,y,z'
loop_
_atom_site_label
_atom_site_type_symbol
_atom_site_fract_x
_atom_site_fract_y
_atom_site_fract_z
La1 La 0.000 0.000 0.500
Se1 Se 0.000 0.000 0.000
La2 La 0.000 0.500 0.000
La3 La 0.500 0.000 0.000
Ti1 Ti 0.500 0.500 0.500
# energy above the lowest structure with this stoichiometry	0.00	eV/f.u.
# space group	Pm-3m (221)
# E	-5.4250	eV per atom
# formation energy (no corrections)	-0.193	eV/atom

7.
# La3TiSe6 PBE optimized geometry
data_La3TiSe6
_cell_length_a 7.101
_cell_length_b 9.305
_cell_length_c 9.305
_cell_angle_alpha 102.38
_cell_angle_beta 90.00
_cell_angle_gamma 90.00
_symmetry_space_group_name_H-M 'P 1'
_symmetry_Int_Tables_number 1
loop_
_symmetry_equiv_pos_as_xyz
'x,y,z'
loop_
_atom_site_label
_atom_site_type_symbol
_atom_site_fract_x
_atom_site_fract_y
_atom_site_fract_z
Se1 Se 0.190 0.687 0.637
Se2 Se 0.676 0.219 0.781
La1 La 0.978 0.083 0.282
La2 La 0.978 0.718 0.917
Se3 Se 0.690 0.313 0.363
Ti1 Ti 0.025 0.197 0.803
La3 La 0.401 0.399 0.601
Ti2 Ti 0.525 0.803 0.197
Se4 Se 0.691 0.573 0.100
Se5 Se 0.190 0.363 0.313
La4 La 0.478 0.282 0.083
Se6 Se 0.191 0.100 0.573
Se7 Se 0.191 0.427 0.900
La5 La 0.478 0.917 0.718
Se8 Se 0.690 0.637 0.687
Se9 Se 0.166 0.038 0.962
Se10 Se 0.666 0.962 0.038
La6 La 0.901 0.601 0.399
Se11 Se 0.691 0.900 0.427
Se12 Se 0.176 0.781 0.219
# space group	Cmc2_1 (36)
# E	-6.0954	eV per atom
# formation energy (no corrections)	-1.737	eV/atom

8.
# La2TiSe4 PBE optimized geometry
data_La2TiSe4
_cell_length_a 7.136
_cell_length_b 6.661
_cell_length_c 8.276
_cell_angle_alpha 90.00
_cell_angle_beta 106.86
_cell_angle_gamma 90.00
_symmetry_space_group_name_H-M 'P 1'
_symmetry_Int_Tables_number 1
loop_
_symmetry_equiv_pos_as_xyz
'x,y,z'
loop_
_atom_site_label
_atom_site_type_symbol
_atom_site_fract_x
_atom_site_fract_y
_atom_site_fract_z
La1 La 0.267 0.250 0.942
Se1 Se 0.064 0.750 0.393
Se2 Se 0.067 0.750 0.892
Se3 Se 0.511 0.007 0.256
La2 La 0.747 0.750 0.562
Se4 Se 0.933 0.250 0.108
La3 La 0.253 0.250 0.438
La4 La 0.733 0.750 0.058
Se5 Se 0.936 0.250 0.607
Ti1 Ti 0.251 0.750 0.190
Se6 Se 0.511 0.493 0.256
Se7 Se 0.489 0.993 0.744
Se8 Se 0.489 0.507 0.744
Ti2 Ti 0.749 0.250 0.810
# space group	P2_1/m (11)
# E	-6.1300	eV per atom
# formation energy (no corrections)	-1.603	eV/atom

9.
# LaTi2Se2 PBE optimized geometry
data_LaTi2Se2
_cell_length_a 3.845
_cell_length_b 3.845
_cell_length_c 7.454
_cell_angle_alpha 75.05
_cell_angle_beta 75.05
_cell_angle_gamma 90.00
_symmetry_space_group_name_H-M 'P 1'
_symmetry_Int_Tables_number 1
loop_
_symmetry_equiv_pos_as_xyz
'x,y,z'
loop_
_atom_site_label
_atom_site_type_symbol
_atom_site_fract_x
_atom_site_fract_y
_atom_site_fract_z
Se1 Se 0.619 0.619 0.761
Se2 Se 0.381 0.381 0.239
La1 La 0.000 0.000 0.000
Ti1 Ti 0.750 0.250 0.500
Ti2 Ti 0.250 0.750 0.500
# space group	I4/mmm (139)
# E	-6.6934	eV per atom
# formation energy (no corrections)	-1.156	eV/atom

10.
# LaTi2Se PBE optimized geometry
data_LaTi2Se
_cell_length_a 8.021
_cell_length_b 8.021
_cell_length_c 6.378
_cell_angle_alpha 51.03
_cell_angle_beta 51.03
_cell_angle_gamma 90.00
_symmetry_space_group_name_H-M 'P 1'
_symmetry_Int_Tables_number 1
loop_
_symmetry_equiv_pos_as_xyz
'x,y,z'
loop_
_atom_site_label
_atom_site_type_symbol
_atom_site_fract_x
_atom_site_fract_y
_atom_site_fract_z
Ti1 Ti 0.375 0.456 0.750
Se1 Se 0.500 0.500 0.000
Se2 Se 0.250 0.750 0.500
Ti2 Ti 0.544 0.125 0.250
La1 La 0.750 0.250 0.500
Ti3 Ti 0.206 0.625 0.250
La2 La 0.000 0.000 0.000
Ti4 Ti 0.875 0.794 0.750
# space group	I-42d (122)
# E	-6.2610	eV per atom
# formation energy (no corrections)	-0.211	eV/atom

11.
# La2TiZnSe PBE optimized geometry
data_La2TiZnSe
_cell_length_a 5.721
_cell_length_b 4.696
_cell_length_c 5.721
_cell_angle_alpha 90.00
_cell_angle_beta 90.00
_cell_angle_gamma 90.00
_symmetry_space_group_name_H-M 'P 1'
_symmetry_Int_Tables_number 1
loop_
_symmetry_equiv_pos_as_xyz
'x,y,z'
loop_
_atom_site_label
_atom_site_type_symbol
_atom_site_fract_x
_atom_site_fract_y
_atom_site_fract_z
La1 La 0.500 0.000 0.000
Ti1 Ti 0.000 0.500 0.000
Se1 Se 0.000 0.000 0.000
La2 La 0.000 0.000 0.500
Zn1 Zn 0.500 0.500 0.500
# space group	P4/mmm (123)
# E	-4.8184	eV per atom
# formation energy (no corrections)	-0.317	eV/atom

12.
# La2ZrTiSe PBE optimized geometry
data_La2ZrTiSe
_cell_length_a 5.802
_cell_length_b 5.066
_cell_length_c 5.802
_cell_angle_alpha 90.00
_cell_angle_beta 90.00
_cell_angle_gamma 90.00
_symmetry_space_group_name_H-M 'P 1'
_symmetry_Int_Tables_number 1
loop_
_symmetry_equiv_pos_as_xyz
'x,y,z'
loop_
_atom_site_label
_atom_site_type_symbol
_atom_site_fract_x
_atom_site_fract_y
_atom_site_fract_z
Ti1 Ti 0.500 0.500 0.500
Se1 Se 0.000 0.500 0.000
La1 La 0.500 0.000 0.000
Zr1 Zr 0.000 0.000 0.000
La2 La 0.000 0.000 0.500
# energy above the lowest structure with this stoichiometry	3.14	eV/f.u.
# space group	P4/mmm (123)
# E	-5.4502	eV per atom
# formation energy (no corrections)	0.506	eV/atom

Computed values of volume (unit: Å³ per cell) for the preceding records, in sequence: 319.1, 319.0, 210.0, 214.0, 429.1, 182.8, 600.5, 376.5, 102.6, 187.6, 153.7, 170.6.